# Ac2MgWO6

Ac2MgWO6 after structural relaxation (GGA+U, Alexandria).

```
Ac2MgWO6
1.0
5.7540 0.0000 0.0000
0.0000 5.7958 0.0000
-5.7353 0.0000 8.3076
Ac Mg W O
4 2 2 12
Direct
0.2443 0.0383 0.2493
0.2443 0.4617 0.7493
0.7557 0.5383 0.2507
0.7557 0.9617 0.7507
0.0000 0.0000 0.5000
0.0000 0.5000 0.0000
0.5000 0.0000 0.0000
0.5000 0.5000 0.5000
0.1770 0.2083 0.9627
0.1770 0.2917 0.4627
0.2517 0.7147 0.9589
0.2517 0.7853 0.4589
0.3229 0.0165 0.7482
0.3229 0.4835 0.2482
0.6771 0.5165 0.7518
0.6771 0.9835 0.2518
0.7483 0.2147 0.5411
0.7483 0.2853 0.0411
0.8230 0.7083 0.5373
0.8230 0.7917 0.0373
```

Calculated values
**E_tot**: -7.5695 eV per atom